Record 1
An optimized crystal structure of CdNiP4O12. Source: the Alexandria database, functional GGA-PBEsol.

Output
As for the total energy: -510.94 eV for the cell shown. As for the uncorrected formation energy: -1.901 eV/atom.

Lattice parameters (Å, degrees): 11.997 8.586 9.731 90.00 117.75 90.00
Space group C2/c (No. 15)
One atom of each set of equivalent atoms:
1 Cd 0.000 0.051 0.250 x4
2 Ni 0.250 0.250 0.500 x4
3 P 0.005 0.275 0.972 x8
4 P 0.193 0.500 0.200 x8
5 O 0.047 0.133 0.924 x8
6 O 0.059 0.260 0.425 x8
7 O 0.086 0.376 0.679 x8
8 O 0.125 0.388 0.053 x8
9 O 0.209 0.089 0.328 x8
10 O 0.236 0.418 0.349 x8


Record 2
An optimized crystal structure of YCuAu. Source: the Alexandria database, functional GGA-PBEsol.

Output
Its formation energy is -0.56 eV/atom. As for the total energy: -16.77 eV for the cell shown.

Lattice parameters (Å, degrees): 4.3910 4.3910 3.4724 90.00 90.00 120.00
Space group P-6m2 (No. 187)
One atom of each set of equivalent atoms:
1 Y 0.0000 0.0000 0.0000 x1
2 Cu 0.6667 0.3333 0.5000 x1
3 Au 0.3333 0.6667 0.5000 x1


Record 3
An optimized crystal structure of BaMg. Source: the Alexandria database, functional GGA-PBEsol.

Output
Its formation energy is -0.01 eV/atom. As for the total energy: -15.53 eV for the cell shown.

Lattice parameters (Å, degrees): 4.153 13.785 5.662 90.00 90.00 90.00
Space group Cmcm (No. 63)
One atom of each set of equivalent atoms:
1 Ba 0.000 0.156 0.250 x4
2 Mg 0.000 0.438 0.250 x4


Record 4
An optimized crystal structure of Zr2BeOs2. Source: the Alexandria database, functional GGA-PBEsol.

Output
Its formation energy is 0.46 eV/atom. As for the total energy: -88.63 eV for the cell shown.

Lattice parameters (Å, degrees): 3.489 3.489 15.097 90.00 90.00 90.00
Space group I4/mmm (No. 139)
One atom of each set of equivalent atoms:
1 Zr 0.000 0.000 0.099 x4
2 Be 0.000 0.000 0.500 x2
3 Os 0.000 0.500 0.250 x4


Record 5
An optimized crystal structure of CuPd2Rh. Source: the Alexandria database, functional GGA-PBEsol.

Output
Its formation energy is 0.16 eV/atom. As for the total energy: -94.93 eV for the cell shown.

Lattice parameters (Å, degrees): 6.035 6.035 6.035 90.00 90.00 90.00
Space group Fm-3m (No. 225)
One atom of each set of equivalent atoms:
1 Cu 0.000 0.000 0.000 x4
2 Pd 0.250 0.250 0.250 x8
3 Rh 0.000 0.000 0.500 x4


Record 6
An optimized crystal structure of CaY. Source: the Alexandria database, functional GGA-PBEsol.

Output
Its formation energy is 0.06 eV/atom. As for the total energy: -17.69 eV for the cell shown. Its energy above the most stable polymorph in this dataset is 0.002 eV/atom.

Lattice parameters (Å, degrees): 3.6535 3.6535 11.9995 90.00 90.00 120.00
Space group P-3m1 (No. 164)
One atom of each set of equivalent atoms:
1 Ca 0.3333 0.6667 0.1358 x2
2 Y 0.3333 0.6667 0.6121 x2


Record 7
An optimized crystal structure of BaZnTe2O7. Source: the Alexandria database, functional GGA-PBEsol.

Output
As for the total energy: -259.00 eV for the cell shown. As for the uncorrected formation energy: -1.566 eV/atom.

Lattice parameters (Å, degrees): 5.561 15.388 7.309 90.00 90.00 90.00
Space group Ama2 (No. 40)
One atom of each set of equivalent atoms:
1 Ba 0.250 0.211 0.000 x4
2 Zn 0.250 0.115 0.515 x4
3 Te 0.250 0.422 0.262 x4
4 Te 0.250 0.428 0.746 x4
5 O 0.000 0.000 0.874 x4
6 O 0.005 0.343 0.190 x8
7 O 0.008 0.144 0.309 x8
8 O 0.250 0.364 0.502 x4
9 O 0.250 0.484 0.030 x4


Record 8
An optimized crystal structure of Al2TeSe. Source: the Alexandria database, functional GGA-PBEsol.

Output
As for the total energy: -50.44 eV for the cell shown. Its energy above the most stable polymorph in this dataset is 0.010 eV/atom. As for the uncorrected formation energy: -0.313 eV/atom.

Lattice parameters (Å, degrees): 3.9742 3.9742 19.2468 90.00 90.00 120.00
Space group R-3m (No. 166, hexagonal axes)
One atom of each set of equivalent atoms:
1 Al 0.0000 0.0000 0.2443 x6
2 Te 0.0000 0.0000 0.0000 x3
3 Se 0.0000 0.0000 0.5000 x3


The evaluated total magnetic moment for the records listed, in turn: 2.00 0.00 0.00 0.00 0.00 0.00 0.00 0.00 μB/f.u..